# 1
Entry from Alexandria: a relaxed CaZrSe crystal (PBE).

Geometry as CIF:
```
data_CaZrSe
_chemical_formula_sum 'Ca2 Zr2 Se2'
_space_group_name_H-M_alt 'P 1'
_space_group_IT_number 1
_cell_length_a 3.780
_cell_length_b 5.699
_cell_length_c 7.696
_cell_angle_alpha 100.85
_cell_angle_beta 90.30
_cell_angle_gamma 109.35
loop_
_space_group_symop_operation_xyz
'x,y,z'
loop_
_atom_site_label
_atom_site_type_symbol
_atom_site_fract_x
_atom_site_fract_y
_atom_site_fract_z
Ca1 Ca 0.114 0.221 0.819
Ca2 Ca 0.886 0.779 0.181
Se1 Se 0.176 0.359 0.215
Se2 Se 0.824 0.641 0.785
Zr1 Zr 0.630 0.261 0.459
Zr2 Zr 0.370 0.739 0.541
```

Properties
energy relative to the lowest polymorph listed for this composition = 0.070 eV per atom
space group = P-1 (2)

=====

# 2
Entry from Alexandria: a relaxed CaZr2Se2 crystal (PBE).

Geometry as CIF:
```
data_CaZr2Se2
_chemical_formula_sum 'Ca1 Zr2 Se2'
_space_group_name_H-M_alt 'P 1'
_space_group_IT_number 1
_cell_length_a 5.175
_cell_length_b 5.175
_cell_length_c 5.867
_cell_angle_alpha 63.83
_cell_angle_beta 63.83
_cell_angle_gamma 90.00
loop_
_space_group_symop_operation_xyz
'x,y,z'
loop_
_atom_site_label
_atom_site_type_symbol
_atom_site_fract_x
_atom_site_fract_y
_atom_site_fract_z
Ca1 Ca 0.000 0.000 0.000
Se1 Se 0.750 0.250 0.500
Se2 Se 0.250 0.750 0.500
Zr1 Zr 0.354 0.354 0.293
Zr2 Zr 0.646 0.646 0.707
```

Properties
space group = I4/mmm (139)

=====

# 3
Entry from Alexandria: a relaxed CaZr2Se crystal (PBE).

Geometry as CIF:
```
data_CaZr2Se
_chemical_formula_sum 'Ca2 Zr4 Se2'
_space_group_name_H-M_alt 'P 1'
_space_group_IT_number 1
_cell_length_a 4.125
_cell_length_b 4.125
_cell_length_c 11.826
_cell_angle_alpha 79.96
_cell_angle_beta 79.96
_cell_angle_gamma 90.00
loop_
_space_group_symop_operation_xyz
'x,y,z'
loop_
_atom_site_label
_atom_site_type_symbol
_atom_site_fract_x
_atom_site_fract_y
_atom_site_fract_z
Ca1 Ca 0.500 0.500 0.000
Ca2 Ca 0.250 0.750 0.500
Se1 Se 0.000 0.000 0.000
Se2 Se 0.750 0.250 0.500
Zr1 Zr 0.640 0.125 0.250
Zr2 Zr 0.110 0.625 0.250
Zr3 Zr 0.375 0.360 0.750
Zr4 Zr 0.875 0.890 0.750
```

Properties
space group = I-42d (122)

=====

# 4
Entry from Alexandria: a relaxed Ca2ZrSe crystal (PBE).

Geometry as CIF:
```
data_Ca2ZrSe
_chemical_formula_sum 'Ca2 Zr1 Se1'
_space_group_name_H-M_alt 'P 1'
_space_group_IT_number 1
_cell_length_a 5.179
_cell_length_b 5.179
_cell_length_c 4.057
_cell_angle_alpha 90.00
_cell_angle_beta 90.00
_cell_angle_gamma 90.00
loop_
_space_group_symop_operation_xyz
'x,y,z'
loop_
_atom_site_label
_atom_site_type_symbol
_atom_site_fract_x
_atom_site_fract_y
_atom_site_fract_z
Ca1 Ca 0.000 0.000 0.000
Ca2 Ca 0.500 0.500 0.000
Se1 Se 0.500 0.000 0.500
Zr1 Zr 0.000 0.500 0.500
```

Properties
space group = P4/mmm (123)

=====

# 5
Entry from Alexandria: a relaxed CaZrSe4 crystal (PBE).

Geometry as CIF:
```
data_CaZrSe4
_chemical_formula_sum 'Ca1 Zr1 Se4'
_space_group_name_H-M_alt 'P 1'
_space_group_IT_number 1
_cell_length_a 5.841
_cell_length_b 5.841
_cell_length_c 5.841
_cell_angle_alpha 60.00
_cell_angle_beta 60.00
_cell_angle_gamma 60.00
loop_
_space_group_symop_operation_xyz
'x,y,z'
loop_
_atom_site_label
_atom_site_type_symbol
_atom_site_fract_x
_atom_site_fract_y
_atom_site_fract_z
Ca1 Ca 0.000 0.000 0.000
Zr1 Zr 0.750 0.750 0.750
Se1 Se 0.873 0.376 0.376
Se2 Se 0.376 0.376 0.873
Se3 Se 0.376 0.873 0.376
Se4 Se 0.376 0.376 0.376
```

Properties
space group = F-43m (216)

=====

# 6
Entry from Alexandria: a relaxed CaZr2Se crystal (PBE).

Geometry as CIF:
```
data_CaZr2Se
_chemical_formula_sum 'Ca1 Zr2 Se1'
_space_group_name_H-M_alt 'P 1'
_space_group_IT_number 1
_cell_length_a 5.731
_cell_length_b 5.731
_cell_length_c 5.731
_cell_angle_alpha 135.53
_cell_angle_beta 135.53
_cell_angle_gamma 64.71
loop_
_space_group_symop_operation_xyz
'x,y,z'
loop_
_atom_site_label
_atom_site_type_symbol
_atom_site_fract_x
_atom_site_fract_y
_atom_site_fract_z
Ca1 Ca 0.500 0.500 0.000
Se1 Se 0.750 0.250 0.500
Zr1 Zr 0.000 0.000 0.000
Zr2 Zr 0.250 0.750 0.500
```

Properties
space group = I-4m2 (119)

=====

# 7
Entry from Alexandria: a relaxed Ca2ZrSe crystal (PBE).

Geometry as CIF:
```
data_Ca2ZrSe
_chemical_formula_sum 'Ca2 Zr1 Se1'
_space_group_name_H-M_alt 'P 1'
_space_group_IT_number 1
_cell_length_a 6.204
_cell_length_b 6.204
_cell_length_c 6.204
_cell_angle_alpha 139.09
_cell_angle_beta 139.09
_cell_angle_gamma 59.25
loop_
_space_group_symop_operation_xyz
'x,y,z'
loop_
_atom_site_label
_atom_site_type_symbol
_atom_site_fract_x
_atom_site_fract_y
_atom_site_fract_z
Ca1 Ca 0.000 0.000 0.000
Ca2 Ca 0.500 0.500 0.000
Se1 Se 0.250 0.750 0.500
Zr1 Zr 0.750 0.250 0.500
```

Properties
space group = I4/mmm (139)

=====

# 8
Entry from Alexandria: a relaxed CaZr2Se crystal (PBE).

Geometry as CIF:
```
data_CaZr2Se
_chemical_formula_sum 'Ca1 Zr2 Se1'
_space_group_name_H-M_alt 'P 1'
_space_group_IT_number 1
_cell_length_a 6.088
_cell_length_b 6.088
_cell_length_c 6.088
_cell_angle_alpha 147.41
_cell_angle_beta 125.41
_cell_angle_gamma 65.04
loop_
_space_group_symop_operation_xyz
'x,y,z'
loop_
_atom_site_label
_atom_site_type_symbol
_atom_site_fract_x
_atom_site_fract_y
_atom_site_fract_z
Ca1 Ca 0.466 0.466 0.000
Se1 Se 0.236 0.736 0.500
Zr1 Zr 0.030 0.030 0.000
Zr2 Zr 0.768 0.268 0.500
```

Properties
space group = Imm2 (44)

=====

| no. | ΔE_f (raw) (eV per atom) | raw total energy (eV/atom) |
| --- | --- | --- |
| 1 | -0.931 | -5.609 |
| 2 | -0.718 | -5.931 |
| 3 | -0.181 | -5.827 |
| 4 | -0.165 | -4.174 |
| 5 | 0.095 | -3.986 |
| 6 | -0.028 | -5.673 |
| 7 | -0.112 | -4.121 |
| 8 | -0.266 | -5.912 |